Computed, not measured: an optimized crystal structure of TaFeW2 at the PBE-GGA level of DFT.

Energy relative to the lowest polymorph listed for this composition: 212 meV per atom

a = 6.253 Å, b = 6.253 Å, c = 6.253 Å
α = 90.00°, β = 90.00°, γ = 90.00°
Space group Fm-3m (No. 225)
Inequivalent atoms, fractional coordinates:
1 Ta 0.000 0.000 0.000 (multiplicity 4)
2 Fe 0.000 0.000 0.500 (multiplicity 4)
3 W 0.250 0.250 0.250 (multiplicity 8)

=====

Computed, not measured: an optimized crystal structure of TaFe2W at the PBE-GGA level of DFT.

E: -10.4289 eV/atom

a = 3.091 Å, b = 3.091 Å, c = 5.980 Å
α = 90.00°, β = 90.00°, γ = 90.00°
Space group P4mm (No. 99)
Inequivalent atoms, fractional coordinates:
1 Ta 0.000 0.000 0.000 (multiplicity 1)
2 Fe 0.000 0.000 0.528 (multiplicity 1)
3 Fe 0.500 0.500 0.761 (multiplicity 1)
4 W 0.500 0.500 0.299 (multiplicity 1)

=====

Computed, not measured: an optimized crystal structure of TaFe2W at the PBE-GGA level of DFT.

E: -10.1098 eV/atom

a = 2.8421 Å, b = 2.8421 Å, c = 25.0196 Å
α = 90.00°, β = 90.00°, γ = 120.00°
Space group R-3m (No. 166, hexagonal axes)
Inequivalent atoms, fractional coordinates:
1 Ta 0.0000 0.0000 0.0000 (multiplicity 3)
2 Fe 0.0000 0.0000 0.2478 (multiplicity 6)
3 W 0.0000 0.0000 0.5000 (multiplicity 3)

=====

Computed, not measured: an optimized crystal structure of TaFeW2 at the PBE-GGA level of DFT.

Energy relative to the lowest polymorph listed for this composition: 69 meV per atom

a = 5.409 Å, b = 8.974 Å, c = 2.733 Å
α = 90.00°, β = 109.74°, γ = 90.00°
Space group C2/m (No. 12)
Inequivalent atoms, fractional coordinates:
1 Ta 0.000 0.000 0.000 (multiplicity 2)
2 Fe 0.000 0.500 0.000 (multiplicity 2)
3 W 0.250 0.250 0.500 (multiplicity 4)

=====

Computed, not measured: an optimized crystal structure of TaFe2W at the PBE-GGA level of DFT.

E: -10.3555 eV/atom

a = 3.196 Å, b = 4.142 Å, c = 4.326 Å
α = 90.00°, β = 90.00°, γ = 90.00°
Space group Pmmm (No. 47)
Inequivalent atoms, fractional coordinates:
1 Ta 0.000 0.000 0.000 (multiplicity 1)
2 Fe 0.000 0.500 0.500 (multiplicity 1)
3 Fe 0.500 0.500 0.000 (multiplicity 1)
4 W 0.500 0.000 0.500 (multiplicity 1)

=====

Computed, not measured: an optimized crystal structure of Ta5FeW4 at the PBE-GGA level of DFT.

E: -12.0593 eV/atom

a = 3.219 Å, b = 3.219 Å, c = 16.016 Å
α = 90.00°, β = 90.00°, γ = 90.00°
Space group P4/mmm (No. 123)
Inequivalent atoms, fractional coordinates:
1 Ta 0.000 0.000 0.000 (multiplicity 1)
2 Ta 0.000 0.000 0.204 (multiplicity 2)
3 Ta 0.000 0.000 0.406 (multiplicity 2)
4 Fe 0.500 0.500 0.500 (multiplicity 1)
5 W 0.500 0.500 0.102 (multiplicity 2)
6 W 0.500 0.500 0.306 (multiplicity 2)

=====

Computed, not measured: an optimized crystal structure of TaFeW2 at the PBE-GGA level of DFT.

Energy relative to the lowest polymorph listed for this composition: 309 meV per atom

a = 5.357 Å, b = 8.934 Å, c = 2.670 Å
α = 90.00°, β = 90.00°, γ = 90.00°
Space group Cmmm (No. 65)
Inequivalent atoms, fractional coordinates:
1 Ta 0.000 0.000 0.000 (multiplicity 2)
2 Fe 0.000 0.500 0.000 (multiplicity 2)
3 W 0.250 0.250 0.500 (multiplicity 4)

=====

Computed, not measured: an optimized crystal structure of TaFeW2 at the PBE-GGA level of DFT.

Energy relative to the lowest polymorph listed for this composition: 707 meV per atom

a = 7.171 Å, b = 7.171 Å, c = 5.110 Å
α = 90.00°, β = 90.00°, γ = 90.00°
Space group I-42d (No. 122)
Inequivalent atoms, fractional coordinates:
1 Ta 0.000 0.000 0.000 (multiplicity 4)
2 Fe 0.000 0.000 0.500 (multiplicity 4)
3 W 0.211 0.250 0.625 (multiplicity 8)

=====

Computed, not measured: an optimized crystal structure of TaFeW2 at the PBE-GGA level of DFT.

Energy relative to the lowest polymorph listed for this composition: 144 meV per atom

a = 2.763 Å, b = 2.763 Å, c = 8.049 Å
α = 90.00°, β = 90.00°, γ = 90.00°
Space group P4mm (No. 99)
Inequivalent atoms, fractional coordinates:
1 Ta 0.000 0.000 0.000 (multiplicity 1)
2 Fe 0.500 0.500 0.774 (multiplicity 1)
3 W 0.000 0.000 0.572 (multiplicity 1)
4 W 0.500 0.500 0.291 (multiplicity 1)

=====

Computed, not measured: an optimized crystal structure of TaFeW2 at the PBE-GGA level of DFT.

Energy relative to the lowest polymorph listed for this composition: 93 meV per atom

a = 2.727 Å, b = 4.494 Å, c = 5.166 Å
α = 90.00°, β = 99.47°, γ = 90.00°
Space group P2/m (No. 10)
Inequivalent atoms, fractional coordinates:
1 Ta 0.000 0.000 0.000 (multiplicity 1)
2 Fe 0.500 0.000 0.500 (multiplicity 1)
3 W 0.259 0.500 0.747 (multiplicity 2)

=====

Computed, not measured: an optimized crystal structure of TaFe2W at the PBE-GGA level of DFT.

E: -10.3332 eV/atom

a = 3.211 Å, b = 4.324 Å, c = 8.234 Å
α = 90.00°, β = 90.00°, γ = 90.00°
Space group Cmmm (No. 65)
Inequivalent atoms, fractional coordinates:
1 Ta 0.000 0.000 0.000 (multiplicity 2)
2 Fe 0.000 0.500 0.255 (multiplicity 4)
3 W 0.000 0.000 0.500 (multiplicity 2)

=====

Computed, not measured: an optimized crystal structure of TaFeW2 at the PBE-GGA level of DFT.

Energy relative to the lowest polymorph listed for this composition: 0 meV per atom

a = 3.168 Å, b = 3.168 Å, c = 6.169 Å
α = 90.00°, β = 90.00°, γ = 90.00°
Space group P4mm (No. 99)
Inequivalent atoms, fractional coordinates:
1 Ta 0.000 0.000 0.000 (multiplicity 1)
2 Fe 0.500 0.500 0.759 (multiplicity 1)
3 W 0.000 0.000 0.517 (multiplicity 1)
4 W 0.500 0.500 0.269 (multiplicity 1)